No. 1
VASP calculation (PBE) on an optimized crystal structure of KNaTlP.

Structure (CIF):
```
data_KNaTlP
_cell_length_a 5.350
_cell_length_b 5.350
_cell_length_c 5.350
_cell_angle_alpha 60.00
_cell_angle_beta 60.00
_cell_angle_gamma 60.00
_space_group_name_H-M_alt 'P 1'
_space_group_IT_number 1
_space_group_name_Hall 'P 1'
loop_
_atom_site_label
_atom_site_fract_x
_atom_site_fract_y
_atom_site_fract_z
_atom_site_occupancy
K1 0.000 0.000 0.000 1
Na1 0.500 0.500 0.500 1
Tl1 0.750 0.750 0.750 1
P1 0.250 0.250 0.250 1
```

## Properties
As for the energy of formation: -0.06 eV per atom. The space-group type is No. 216.

---

No. 2
VASP calculation (PBE) on an optimized crystal structure of KNa2TlP.

Structure (CIF):
```
data_KNa2TlP
_cell_length_a 5.850
_cell_length_b 5.850
_cell_length_c 5.529
_cell_angle_alpha 90.00
_cell_angle_beta 90.00
_cell_angle_gamma 90.00
_space_group_name_H-M_alt 'P 1'
_space_group_IT_number 1
_space_group_name_Hall 'P 1'
loop_
_atom_site_label
_atom_site_fract_x
_atom_site_fract_y
_atom_site_fract_z
_atom_site_occupancy
K1 0.000 0.000 0.000 1
Na1 0.000 0.500 0.000 1
Na2 0.500 0.000 0.000 1
Tl1 0.500 0.500 0.500 1
P1 0.000 0.000 0.500 1
```

## Properties
As for the energy of formation: 0.54 eV per atom. The space-group type is No. 123.

---

No. 3
VASP calculation (PBE) on an optimized crystal structure of K2NaPW.

Structure (CIF):
```
data_K2NaPW
_cell_length_a 6.416
_cell_length_b 6.416
_cell_length_c 5.787
_cell_angle_alpha 90.00
_cell_angle_beta 90.00
_cell_angle_gamma 90.00
_space_group_name_H-M_alt 'P 1'
_space_group_IT_number 1
_space_group_name_Hall 'P 1'
loop_
_atom_site_label
_atom_site_fract_x
_atom_site_fract_y
_atom_site_fract_z
_atom_site_occupancy
K1 0.000 0.500 0.000 1
K2 0.500 0.000 0.000 1
Na1 0.000 0.000 0.500 1
P1 0.500 0.500 0.500 1
W1 0.000 0.000 0.000 1
```

## Properties
As for the energy of formation: 1.73 eV per atom. The space-group type is No. 123.